DFT (GGA-PBE) results for an optimized crystal structure of Nd2DyCu4Ge4.

Structure (CIF):
```
data_Nd2DyCu4Ge4
_chemical_formula_sum 'Nd2 Dy1 Cu4 Ge4'
_symmetry_space_group_name_H-M 'P 1'
_symmetry_Int_Tables_number 1
_symmetry_space_group_name_Hall 'P 1'
_cell_length_a 8.132
_cell_length_b 8.132
_cell_length_c 8.132
_cell_angle_alpha 149.28
_cell_angle_beta 131.66
_cell_angle_gamma 58.37
loop_
_atom_site_label
_atom_site_fract_x
_atom_site_fract_y
_atom_site_fract_z
Nd1 0.131 0.131 0.000
Nd2 0.869 0.869 0.000
Dy1 0.500 0.000 0.500
Cu1 0.145 0.332 0.813
Cu2 0.481 0.668 0.813
Cu3 0.519 0.332 0.187
Cu4 0.855 0.668 0.187
Ge1 0.195 0.500 0.695
Ge2 0.285 0.785 0.500
Ge3 0.715 0.215 0.500
Ge4 0.805 0.500 0.305
```

Values from the calculation:
Symmetry: Immm

***

DFT (GGA-PBE) results for an optimized crystal structure of Nd2DyCu4Sn2Ge2.

Structure (CIF):
```
data_Nd2DyCu4Sn2Ge2
_chemical_formula_sum 'Nd2 Dy1 Cu4 Sn2 Ge2'
_symmetry_space_group_name_H-M 'P 1'
_symmetry_Int_Tables_number 1
_symmetry_space_group_name_Hall 'P 1'
_cell_length_a 8.379
_cell_length_b 8.379
_cell_length_c 8.379
_cell_angle_alpha 149.12
_cell_angle_beta 132.67
_cell_angle_gamma 57.59
loop_
_atom_site_label
_atom_site_fract_x
_atom_site_fract_y
_atom_site_fract_z
Nd1 0.127 0.127 0.000
Nd2 0.873 0.873 0.000
Dy1 0.500 0.000 0.500
Cu1 0.153 0.341 0.813
Cu2 0.472 0.659 0.813
Cu3 0.528 0.341 0.187
Cu4 0.847 0.659 0.187
Sn1 0.284 0.784 0.500
Sn2 0.716 0.216 0.500
Ge1 0.193 0.500 0.693
Ge2 0.807 0.500 0.307
```

Values from the calculation:
Symmetry: Immm

***

DFT (GGA-PBE) results for an optimized crystal structure of Nd2DyCu4Sn2Ge2.

Structure (CIF):
```
data_Nd2DyCu4Sn2Ge2
_chemical_formula_sum 'Nd2 Dy1 Cu4 Sn2 Ge2'
_symmetry_space_group_name_H-M 'P 1'
_symmetry_Int_Tables_number 1
_symmetry_space_group_name_Hall 'P 1'
_cell_length_a 8.403
_cell_length_b 8.403
_cell_length_c 8.403
_cell_angle_alpha 149.55
_cell_angle_beta 131.45
_cell_angle_gamma 58.40
loop_
_atom_site_label
_atom_site_fract_x
_atom_site_fract_y
_atom_site_fract_z
Nd1 0.137 0.137 0.000
Nd2 0.863 0.863 0.000
Dy1 0.500 0.000 0.500
Cu1 0.142 0.326 0.816
Cu2 0.490 0.674 0.816
Cu3 0.510 0.326 0.184
Cu4 0.858 0.674 0.184
Sn1 0.205 0.500 0.705
Sn2 0.795 0.500 0.295
Ge1 0.285 0.785 0.500
Ge2 0.715 0.215 0.500
```

Values from the calculation:
Symmetry: Immm

***

DFT (GGA-PBE) results for an optimized crystal structure of NdDy2Cu4Sn2Ge2.

Structure (CIF):
```
data_NdDy2Cu4Sn2Ge2
_chemical_formula_sum 'Nd1 Dy2 Cu4 Sn2 Ge2'
_symmetry_space_group_name_H-M 'P 1'
_symmetry_Int_Tables_number 1
_symmetry_space_group_name_Hall 'P 1'
_cell_length_a 8.318
_cell_length_b 8.318
_cell_length_c 8.318
_cell_angle_alpha 149.62
_cell_angle_beta 131.88
_cell_angle_gamma 57.98
loop_
_atom_site_label
_atom_site_fract_x
_atom_site_fract_y
_atom_site_fract_z
Nd1 0.000 0.000 0.000
Dy1 0.375 0.875 0.500
Dy2 0.625 0.125 0.500
Cu1 0.029 0.339 0.690
Cu2 0.351 0.661 0.690
Cu3 0.649 0.339 0.310
Cu4 0.971 0.661 0.310
Sn1 0.219 0.219 0.000
Sn2 0.781 0.781 0.000
Ge1 0.313 0.500 0.813
Ge2 0.687 0.500 0.187
```

Values from the calculation:
Symmetry: Immm

***

It is found that the calculated total energy values, taken in the order of the records, are -0.3619, -0.3525, -0.3472, -0.3516 Ry per atom.
It is found that the V values, taken in the order of the records, are 204, 220, 224, 215 Å³/cell.